TlAgTe2 | PBE | optimized geometry

Values from the calculation:
Total magnetic moment, μB/cell: 0.0
Energy relative to the elements, uncorrected, kJ/mol of atoms: -0.72
Volume, Å³/f.u.: 125.6

Structure (CIF):
```
data_TlAgTe2
_space_group_name_H-M_alt 'I m m m'
_space_group_IT_number 71
_space_group_name_Hall '-I 2 2'
_cell_length_a 4.337
_cell_length_b 6.693
_cell_length_c 8.654
_cell_angle_alpha 90.00
_cell_angle_beta 90.00
_cell_angle_gamma 90.00
loop_
_atom_site_label
_atom_site_type_symbol
_atom_site_fract_x
_atom_site_fract_y
_atom_site_fract_z
_atom_site_occupancy
Tl1 Tl 0.000 0.000 0.000 1
Ag1 Ag 0.000 0.000 0.500 1
Te1 Te 0.000 0.500 0.195 1
```